No. 1
Compound: NaGaBr2
Source: Alexandria
Functional: PBE
Structure: optimized geometry

Unit cell a=7.563 b=7.563 c=7.563 alpha=90.00 beta=90.00 gamma=90.00
Space group Fm-3m (No. 225)
Asymmetric unit:
Na  0.000  0.000  0.000 x4
Ga  0.000  0.000  0.500 x4
Br  0.250  0.250  0.250 x8

Offset from the most stable computed form = 135 meV/atom
Formation energy from raw total energies = -929 meV/atom



No. 2
Compound: VS2Cl
Source: Alexandria
Functional: PBE
Structure: optimized geometry

Unit cell a=3.3447 b=3.3447 c=22.6112 alpha=90.00 beta=90.00 gamma=120.00
Space group R-3m (No. 166, hexagonal axes)
Asymmetric unit:
V  0.0000  0.0000  0.0000 x3
S  0.0000  0.0000  0.3941 x6
Cl  0.0000  0.0000  0.5000 x3

Offset from the most stable computed form = 148 meV/atom
Formation energy from raw total energies = -532 meV/atom



No. 3
Compound: BaF4
Source: Alexandria
Functional: PBE
Structure: optimized geometry

Unit cell a=5.060 b=5.060 c=5.060 alpha=90.00 beta=90.00 gamma=90.00
Space group Pm-3m (No. 221)
Asymmetric unit:
Ba  0.000  0.000  0.000 x1
F  0.000  0.000  0.500 x3
F  0.500  0.500  0.500 x1

Offset from the most stable computed form = 343 meV/atom
Formation energy from raw total energies = -1909 meV/atom



No. 4
Compound: La2ZrAs
Source: Alexandria
Functional: PBE
Structure: optimized geometry

Unit cell a=3.983 b=4.004 c=6.992 alpha=90.00 beta=90.00 gamma=90.00
Space group Pmmm (No. 47)
Asymmetric unit:
La  0.000  0.000  0.220 x2
Zr  0.500  0.500  0.500 x1
As  0.500  0.500  0.000 x1

Energy of formation from the pure elements = -408.7 meV/atom



| no. | N(E_F) (states/eV/f.u.) |
| --- | --- |
| 1 | 0.0 |
| 2 | 1.8 |
| 3 | 18.6 |
| 4 | 5.2 |